Below is a relaxed structure of CsHgSbS3, with properties calculated at the PBE level.

The structure in CIF format:
```
data_CsHgSbS3
_chemical_formula_sum 'Cs4 Hg4 Sb4 S12'
_symmetry_space_group_name_H-M 'C m c m'
_symmetry_Int_Tables_number 63
_symmetry_space_group_name_Hall '-C 2c 2'
_cell_length_a 4.194
_cell_length_b 15.744
_cell_length_c 10.849
_cell_angle_alpha 90.00
_cell_angle_beta 90.00
_cell_angle_gamma 90.00
loop_
_atom_site_label
_atom_site_type_symbol
_atom_site_fract_x
_atom_site_fract_y
_atom_site_fract_z
Cs1 Cs 0.000 0.231 0.250
Hg1 Hg 0.000 0.059 0.750
Sb1 Sb 0.000 0.500 0.000
S1 S 0.000 0.117 0.537
S2 S 0.000 0.451 0.750
```

Below is a relaxed structure of PuSb2, with properties calculated at the PBE level.

The structure in CIF format:
```
data_PuSb2
_chemical_formula_sum 'Pu8 Sb16'
_symmetry_space_group_name_H-M 'C m c e'
_symmetry_Int_Tables_number 64
_symmetry_space_group_name_Hall '-C 2ac 2'
_cell_length_a 6.195
_cell_length_b 6.174
_cell_length_c 17.183
_cell_angle_alpha 90.00
_cell_angle_beta 90.00
_cell_angle_gamma 90.00
loop_
_atom_site_label
_atom_site_type_symbol
_atom_site_fract_x
_atom_site_fract_y
_atom_site_fract_z
Pu1 Pu 0.000 0.141 0.107
Sb1 Sb 0.000 0.140 0.430
Sb2 Sb 0.250 0.123 0.750
```

# NdSmGa (PBE, relaxed)
data_NdSmGa
_chemical_formula_sum 'Nd4 Sm4 Ga4'
_symmetry_space_group_name_H-M 'F -4 3 m'
_symmetry_Int_Tables_number 216
_symmetry_space_group_name_Hall 'F -4 2 3'
_cell_length_a 7.177
_cell_length_b 7.177
_cell_length_c 7.177
_cell_angle_alpha 90.00
_cell_angle_beta 90.00
_cell_angle_gamma 90.00
loop_
_atom_site_label
_atom_site_type_symbol
_atom_site_fract_x
_atom_site_fract_y
_atom_site_fract_z
Nd1 Nd 0.000 0.000 0.000
Sm1 Sm 0.000 0.000 0.500
Ga1 Ga 0.250 0.250 0.250
# energy above the lowest structure with this stoichiometry	0	meV per atom

# Np3Fe2 (PBE, relaxed)
data_Np3Fe2
_chemical_formula_sum 'Np18 Fe12'
_symmetry_space_group_name_H-M 'R -3 c'
_symmetry_Int_Tables_number 167
_symmetry_space_group_name_Hall '-R 3 2"c'
_cell_length_a 6.3229
_cell_length_b 6.3229
_cell_length_c 16.2347
_cell_angle_alpha 90.00
_cell_angle_beta 90.00
_cell_angle_gamma 120.00
loop_
_atom_site_label
_atom_site_type_symbol
_atom_site_fract_x
_atom_site_fract_y
_atom_site_fract_z
Np1 Np 0.0000 0.4987 0.2500
Fe1 Fe 0.0000 0.0000 0.1769
# energy of formation	275	meV/atom

# NbMo (PBE, relaxed)
data_NbMo
_chemical_formula_sum 'Nb1 Mo1'
_symmetry_space_group_name_H-M 'P -6 m 2'
_symmetry_Int_Tables_number 187
_symmetry_space_group_name_Hall 'P -6 2'
_cell_length_a 2.8071
_cell_length_b 2.8071
_cell_length_c 5.0793
_cell_angle_alpha 90.00
_cell_angle_beta 90.00
_cell_angle_gamma 120.00
loop_
_atom_site_label
_atom_site_type_symbol
_atom_site_fract_x
_atom_site_fract_y
_atom_site_fract_z
Nb1 Nb 0.0000 0.0000 0.0000
Mo1 Mo 0.3333 0.6667 0.5000
# energy of formation	394	meV/atom

Below is a relaxed structure of Ni2Pb3, with properties calculated at the PBE level.

The structure in CIF format:
```
data_Ni2Pb3
_chemical_formula_sum 'Ni12 Pb18'
_symmetry_space_group_name_H-M 'R -3 c'
_symmetry_Int_Tables_number 167
_symmetry_space_group_name_Hall '-R 3 2"c'
_cell_length_a 6.5980
_cell_length_b 6.5980
_cell_length_c 17.6385
_cell_angle_alpha 90.00
_cell_angle_beta 90.00
_cell_angle_gamma 120.00
loop_
_atom_site_label
_atom_site_type_symbol
_atom_site_fract_x
_atom_site_fract_y
_atom_site_fract_z
Ni1 Ni 0.0000 0.0000 0.1753
Pb1 Pb 0.0000 0.3556 0.2500
```

Below is a relaxed structure of GdDyMg3Cu2, with properties calculated at the PBE level.

The structure in CIF format:
```
data_GdDyMg3Cu2
_chemical_formula_sum 'Gd2 Dy2 Mg6 Cu4'
_symmetry_space_group_name_H-M 'A m m 2'
_symmetry_Int_Tables_number 38
_cell_length_a 3.594
_cell_length_b 4.145
_cell_length_c 20.936
_cell_angle_alpha 90.00
_cell_angle_beta 90.00
_cell_angle_gamma 90.00
loop_
_symmetry_equiv_pos_as_xyz
'x,y,z'
'-x,-y,z'
'-x,y,z'
'x,-y,z'
'x,y+1/2,z+1/2'
'-x,-y+1/2,z+1/2'
'-x,y+1/2,z+1/2'
'x,-y+1/2,z+1/2'
loop_
_atom_site_label
_atom_site_type_symbol
_atom_site_fract_x
_atom_site_fract_y
_atom_site_fract_z
Gd1 Gd 0.000 0.000 0.000
Dy1 Dy 0.000 0.000 0.656
Mg1 Mg 0.000 0.000 0.828
Mg2 Mg 0.500 0.000 0.250
Mg3 Mg 0.500 0.000 0.405
Cu1 Cu 0.500 0.000 0.115
Cu2 Cu 0.500 0.000 0.543
```

Below is a relaxed structure of DyTm4C2S, with properties calculated at the PBE level.

The structure in CIF format:
```
data_DyTm4C2S
_chemical_formula_sum 'Dy1 Tm4 C2 S1'
_symmetry_space_group_name_H-M 'P -6 m 2'
_symmetry_Int_Tables_number 187
_symmetry_space_group_name_Hall 'P -6 2'
_cell_length_a 3.5902
_cell_length_b 3.5902
_cell_length_c 15.2688
_cell_angle_alpha 90.00
_cell_angle_beta 90.00
_cell_angle_gamma 120.00
loop_
_atom_site_label
_atom_site_type_symbol
_atom_site_fract_x
_atom_site_fract_y
_atom_site_fract_z
Dy1 Dy 0.0000 0.0000 0.0000
Tm1 Tm 0.0000 0.0000 0.3785
Tm2 Tm 0.6667 0.3333 0.2063
C1 C 0.3333 0.6667 0.2901
S1 S 0.6667 0.3333 0.5000
```

Number 1: uncorrected energy -3.417 eV per atom. Number 2: uncorrected energy -8.008 eV per atom. Number 3: uncorrected energy -4.407 eV per atom. Number 4: uncorrected energy -10.710 eV per atom. Number 5: uncorrected energy -10.077 eV per atom. Number 6: uncorrected energy -4.370 eV per atom. Number 7: uncorrected energy -3.204 eV per atom. Number 8: uncorrected energy -6.378 eV per atom.